The following is a DFT calculation (PBE) of an optimized crystal structure of Mg2SbPb.

Cell: 7.529 7.529 7.529 Å, 90.00 90.00 90.00°
Space group F-43m (No. 216)
Inequivalent atoms, fractional coordinates:
Mg: 0.000 0.000 0.000 (multiplicity 4)
Mg: 0.250 0.250 0.250 (multiplicity 4)
Sb: 0.250 0.250 0.750 (multiplicity 4)
Pb: 0.000 0.000 0.500 (multiplicity 4)

Output
uncorrected formation energy	0.039	eV/atom
total moment	0.00	Bohr magnetons per cell
energy	-43.46	eV for the cell shown